First-principles (GGA-PBE) data for a relaxed structure of AuS, as listed in Alexandria via LeMat-Bulk.

Cell lengths 3.9050, 3.9050, 6.8539 Å; angles 90.00, 90.00, 120.00 degrees
With the nearest neighbours (Å) after each atom.
Sites, in units of the cell vectors:
Au  0.3333  0.6667  0.0000  4 S 2.39-2.48
Au  0.6667  0.3333  0.5000  4 S 2.39-2.48
S  0.3333  0.6667  0.6518  4 Au 2.39-2.48
S  0.6667  0.3333  0.1518  4 Au 2.39-2.48

Computed properties:
Spin magnetization = 0.000 μB/f.u.
Calculated total energy = -3.49 eV/atom